HfAl4Co5 PBE optimized geometry; DOS(E_F) = 5.01 states/eV/cell; raw total energy = -6.58 eV/atom; energy relative to the elements = -0.539 eV per atom
1.0
-0.569 2.267 1.654
-2.742 -0.093 -0.816
-3.132 -9.234 11.579
Hf Al Co
1 4 5
Direct
0.000 0.000 0.000
0.000 0.000 0.214
0.000 0.000 0.405
0.000 0.000 0.595
0.000 0.000 0.786
0.500 0.500 0.120
0.500 0.500 0.312
0.500 0.500 0.500
0.500 0.500 0.688
0.500 0.500 0.880